No. 1
Here is an optimized crystal structure of CsDy2C2N6 from Alexandria via LeMat-Bulk. Energies are from GGA-PBE.

Cell lengths 6.074, 6.074, 6.091 Å; angles 110.54, 110.54, 59.88 degrees
Atoms (fractional coordinates):
Cs (0.000, 0.000, 0.000)
Dy (0.326, 0.326, 0.703)
Dy (0.674, 0.674, 0.297)
C (0.344, 0.344, 0.259)
C (0.656, 0.656, 0.741)
N (0.112, 0.490, 0.322)
N (0.428, 0.428, 0.142)
N (0.490, 0.112, 0.322)
N (0.510, 0.888, 0.678)
N (0.572, 0.572, 0.858)
N (0.888, 0.510, 0.678)

Computed properties:
crystal system	monoclinic
formation energy (no corrections)	-0.3927	eV per atom
symmetry	C2/m (12)
Fermi-level density of states	3.7	states/eV per cell

No. 2
Here is an optimized crystal structure of ErCu5Ag from Alexandria via LeMat-Bulk. Energies are from GGA-PBE.

Cell lengths 8.116, 5.024, 10.354 Å; angles 90.00, 90.00, 90.00 degrees
Atoms (fractional coordinates):
Er (0.245, 0.250, 0.066)
Er (0.255, 0.750, 0.566)
Er (0.745, 0.250, 0.434)
Er (0.755, 0.750, 0.934)
Cu (0.055, 0.750, 0.104)
Cu (0.068, 0.003, 0.314)
Cu (0.068, 0.497, 0.314)
Cu (0.090, 0.250, 0.517)
Cu (0.185, 0.250, 0.746)
Cu (0.315, 0.750, 0.246)
Cu (0.410, 0.750, 0.017)
Cu (0.432, 0.503, 0.814)
Cu (0.432, 0.997, 0.814)
Cu (0.445, 0.250, 0.604)
Cu (0.555, 0.750, 0.396)
Cu (0.568, 0.003, 0.186)
Cu (0.568, 0.497, 0.186)
Cu (0.590, 0.250, 0.983)
Cu (0.685, 0.250, 0.754)
Cu (0.815, 0.750, 0.254)
Cu (0.910, 0.750, 0.483)
Cu (0.932, 0.503, 0.686)
Cu (0.932, 0.997, 0.686)
Cu (0.945, 0.250, 0.896)
Ag (0.136, 0.750, 0.861)
Ag (0.364, 0.250, 0.361)
Ag (0.636, 0.750, 0.639)
Ag (0.864, 0.250, 0.139)

Computed properties:
crystal system	orthorhombic
DFT formation energy	-164	meV/atom
symmetry	Pnma (62)
Fermi-level density of states	12.1	states/eV per cell

No. 3
Here is an optimized crystal structure of K2Nd2NpS6 from Alexandria via LeMat-Bulk. Energies are from GGA-PBE.

Cell lengths 7.140, 7.140, 7.885 Å; angles 98.84, 98.84, 119.61 degrees
Atoms (fractional coordinates):
K (0.169, 0.831, 0.000)
K (0.831, 0.169, 0.000)
Nd (0.334, 0.666, 0.500)
Nd (0.666, 0.334, 0.500)
Np (0.000, 0.000, 0.500)
S (0.064, 0.386, 0.698)
S (0.248, 0.248, 0.303)
S (0.386, 0.064, 0.698)
S (0.614, 0.936, 0.302)
S (0.752, 0.752, 0.697)
S (0.936, 0.614, 0.302)

Computed properties:
crystal system	monoclinic
formation energy (no corrections)	-1.6853	eV per atom
symmetry	C2/m (12)
Fermi-level density of states	6.5	states/eV per cell

No. 4
Here is an optimized crystal structure of CdRe2W from Alexandria via LeMat-Bulk. Energies are from GGA-PBE.

Cell lengths 3.115, 4.527, 9.400 Å; angles 90.00, 90.00, 90.00 degrees
Atoms (fractional coordinates):
Cd (0.000, 0.000, 0.000)
Cd (0.500, 0.500, 0.000)
Re (0.000, 0.500, 0.269)
Re (0.000, 0.500, 0.731)
Re (0.500, 0.000, 0.269)
Re (0.500, 0.000, 0.731)
W (0.000, 0.000, 0.500)
W (0.500, 0.500, 0.500)

Computed properties:
crystal system	orthorhombic
DFT formation energy	351	meV/atom
symmetry	Cmmm (65)
Fermi-level density of states	4.8	states/eV per cell

No. 5
Here is an optimized crystal structure of LiLaSb2 from Alexandria via LeMat-Bulk. Energies are from GGA-PBE.

Cell lengths 5.069, 5.069, 8.542 Å; angles 90.00, 90.00, 90.00 degrees
Atoms (fractional coordinates):
Li (0.000, 0.000, 0.000)
Li (0.500, 0.500, 0.500)
La (0.000, 0.000, 0.500)
La (0.500, 0.500, 0.000)
Sb (0.000, 0.500, 0.250)
Sb (0.000, 0.500, 0.750)
Sb (0.500, 0.000, 0.250)
Sb (0.500, 0.000, 0.750)

Computed properties:
crystal system	tetragonal
formation energy (no corrections)	-0.6904	eV per atom
energy above the most stable polymorph in this dataset	0.218	eV per atom
symmetry	I4/mmm (139)
Fermi-level density of states	3.6	states/eV per cell

No. 6
Here is an optimized crystal structure of AcI2Cl8 from Alexandria via LeMat-Bulk. Energies are from GGA-PBE.

Cell lengths 8.626, 8.626, 7.055 Å; angles 94.40, 94.40, 50.23 degrees
Atoms (fractional coordinates):
Ac (0.000, 0.000, 0.000)
I (0.229, 0.229, 0.457)
I (0.771, 0.771, 0.543)
Cl (0.150, 0.150, 0.768)
Cl (0.166, 0.650, 0.754)
Cl (0.315, 0.315, 0.195)
Cl (0.350, 0.834, 0.246)
Cl (0.650, 0.166, 0.754)
Cl (0.685, 0.685, 0.805)
Cl (0.834, 0.350, 0.246)
Cl (0.850, 0.850, 0.232)

Computed properties:
crystal system	monoclinic
formation energy (no corrections)	-0.7688	eV per atom
symmetry	C2/m (12)
Fermi-level density of states	6.6	states/eV per cell

No. 7
Here is an optimized crystal structure of YNpGa2 from Alexandria via LeMat-Bulk. Energies are from GGA-PBE.

Cell lengths 7.131, 7.131, 7.131 Å; angles 90.00, 90.00, 90.00 degrees
Atoms (fractional coordinates):
Y (0.000, 0.000, 0.000)
Y (0.000, 0.500, 0.500)
Y (0.500, 0.000, 0.500)
Y (0.500, 0.500, 0.000)
Np (0.000, 0.000, 0.500)
Np (0.000, 0.500, 0.000)
Np (0.500, 0.000, 0.000)
Np (0.500, 0.500, 0.500)
Ga (0.250, 0.250, 0.250)
Ga (0.250, 0.250, 0.750)
Ga (0.250, 0.750, 0.250)
Ga (0.250, 0.750, 0.750)
Ga (0.750, 0.250, 0.250)
Ga (0.750, 0.250, 0.750)
Ga (0.750, 0.750, 0.250)
Ga (0.750, 0.750, 0.750)

Computed properties:
crystal system	cubic
DFT formation energy	-239	meV/atom
symmetry	Fm-3m (225)
Fermi-level density of states	13.8	states/eV per cell

No. 8
Here is an optimized crystal structure of Tl17In11Sn from Alexandria via LeMat-Bulk. Energies are from GGA-PBE.

Cell lengths 10.361, 10.361, 10.404 Å; angles 109.51, 109.51, 109.09 degrees
Atoms (fractional coordinates):
Tl (0.000, 0.000, 0.000)
Tl (0.000, 0.358, 0.641)
Tl (0.001, 0.001, 0.643)
Tl (0.001, 0.603, 0.962)
Tl (0.002, 0.320, 0.245)
Tl (0.286, 0.682, 0.324)
Tl (0.320, 0.002, 0.245)
Tl (0.321, 0.604, 0.643)
Tl (0.358, 0.000, 0.641)
Tl (0.397, 0.718, 0.039)
Tl (0.399, 0.399, 0.362)
Tl (0.603, 0.001, 0.962)
Tl (0.604, 0.321, 0.643)
Tl (0.643, 0.643, 0.285)
Tl (0.682, 0.286, 0.324)
Tl (0.683, 0.683, 0.927)
Tl (0.718, 0.397, 0.039)
In (0.001, 0.632, 0.455)
In (0.001, 0.813, 0.275)
In (0.183, 0.369, 0.011)
In (0.188, 0.822, 0.829)
In (0.369, 0.183, 0.011)
In (0.371, 0.371, 0.824)
In (0.632, 0.001, 0.455)
In (0.635, 0.816, 0.645)
In (0.813, 0.001, 0.275)
In (0.816, 0.635, 0.645)
In (0.822, 0.188, 0.829)
Sn (0.185, 0.185, 0.463)

Computed properties:
crystal system	monoclinic
DFT formation energy	10	meV/atom
symmetry	Cm (8)
Fermi-level density of states	12.6	states/eV per cell

No. 9
Here is an optimized crystal structure of Tl2SeS2 from Alexandria via LeMat-Bulk. Energies are from GGA-PBE.

Cell lengths 5.460, 5.355, 11.000 Å; angles 90.00, 103.49, 90.00 degrees
Atoms (fractional coordinates):
Tl (0.189, 0.000, 0.419)
Tl (0.231, 0.357, 0.942)
Tl (0.769, 0.857, 0.058)
Tl (0.811, 0.500, 0.581)
Se (0.378, 0.888, 0.746)
Se (0.622, 0.388, 0.254)
S (0.012, 0.845, 0.809)
S (0.367, 0.289, 0.685)
S (0.633, 0.789, 0.315)
S (0.988, 0.345, 0.191)

Computed properties:
crystal system	monoclinic
formation energy (no corrections)	-0.1611	eV per atom
symmetry	P2_1 (4)

No. 10
Here is an optimized crystal structure of AcPm6Er2 from Alexandria via LeMat-Bulk. Energies are from GGA-PBE.

Cell lengths 3.665, 3.665, 27.141 Å; angles 90.00, 90.00, 120.00 degrees
Atoms (fractional coordinates):
Ac (0.000, 0.000, 0.000)
Pm (0.000, 0.000, 0.226)
Pm (0.000, 0.000, 0.434)
Pm (0.000, 0.000, 0.566)
Pm (0.000, 0.000, 0.774)
Pm (0.333, 0.667, 0.117)
Pm (0.333, 0.667, 0.883)
Er (0.333, 0.667, 0.332)
Er (0.333, 0.667, 0.668)

Computed properties:
crystal system	hexagonal
DFT formation energy	68	meV/atom
energy above the most stable polymorph in this dataset	0.006	eV per atom
symmetry	P-6m2 (187)
Fermi-level density of states	14.2	states/eV per cell

No. 11
Here is an optimized crystal structure of TbYGa4 from Alexandria via LeMat-Bulk. Energies are from GGA-PBE.

Cell lengths 4.260, 7.008, 8.252 Å; angles 90.00, 90.00, 90.00 degrees
Atoms (fractional coordinates):
Tb (0.000, 0.000, 0.000)
Tb (0.500, 0.500, 0.500)
Y (0.000, 0.500, 0.121)
Y (0.500, 0.000, 0.621)
Ga (0.000, 0.198, 0.398)
Ga (0.000, 0.302, 0.721)
Ga (0.000, 0.698, 0.721)
Ga (0.000, 0.802, 0.398)
Ga (0.500, 0.198, 0.221)
Ga (0.500, 0.302, 0.898)
Ga (0.500, 0.698, 0.898)
Ga (0.500, 0.802, 0.221)

Computed properties:
crystal system	orthorhombic
DFT formation energy	-644	meV/atom
energy above the most stable polymorph in this dataset	0.020	eV per atom
symmetry	Imm2 (44)
Fermi-level density of states	6.5	states/eV per cell

No. 12
Here is an optimized crystal structure of Cs2KCuF6 from Alexandria via LeMat-Bulk. Energies are from GGA-PBE.

Cell lengths 6.440, 6.440, 6.440 Å; angles 60.00, 60.00, 60.00 degrees
Atoms (fractional coordinates):
Cs (0.250, 0.250, 0.250)
Cs (0.750, 0.750, 0.750)
K (0.000, 0.000, 0.000)
Cu (0.500, 0.500, 0.500)
F (0.286, 0.286, 0.714)
F (0.286, 0.714, 0.286)
F (0.286, 0.714, 0.714)
F (0.714, 0.286, 0.286)
F (0.714, 0.286, 0.714)
F (0.714, 0.714, 0.286)

Computed properties:
crystal system	cubic
formation energy (no corrections)	-2.3224	eV per atom
symmetry	Fm-3m (225)

| no. | calculated total energy (eV per atom) |
| --- | --- |
| 1 | -7.5252 |
| 2 | -4.1487 |
| 3 | -6.1795 |
| 4 | -9.3398 |
| 5 | -4.4620 |
| 6 | -2.7671 |
| 7 | -6.6039 |
| 8 | -2.5540 |
| 9 | -3.4555 |
| 10 | -4.5699 |
| 11 | -4.5114 |
| 12 | -4.1352 |